# 1
Ca3BiP | PBE | optimized geometry

```
10
Lattice="-0.296 -0.062 7.559 2.950 -5.921 3.669 6.428 0.997 3.862" Properties=species:S:1:pos:R:3 pbc="T T T"
P 4.508 -2.476 7.492
P 9.049 -4.969 15.037
Bi 6.780 -3.723 11.266
Bi 2.239 -1.230 3.721
Ca 3.308 -3.764 9.634
Ca 3.186 -4.269 5.839
Ca 2.361 -0.720 7.509
Ca 5.826 -0.676 9.139
Ca 6.655 -4.231 7.465
Ca 5.701 -1.188 5.344
```

Results
DFT total energy: -20.34 eV per formula unit
SG: No. 167
offset from the most stable computed form: 0.023 eV/atom



# 2
Ca3BiP | PBE | optimized geometry

```
20
Lattice="16.377 0.000 -0.080 6.776 5.941 -3.586 -6.776 5.941 3.586" Properties=species:S:1:pos:R:3 pbc="T T T"
P 8.895 4.978 1.733
Bi 12.445 7.542 -0.217
Ca 9.493 8.673 -1.055
Ca 10.726 7.043 2.432
Ca 7.064 7.043 1.034
Ca -1.769 7.214 2.150
Ca 5.652 4.838 -2.512
P 15.671 3.345 -1.853
Ca -1.304 2.733 1.015
Ca 3.181 7.214 1.396
Ca 17.681 9.149 -1.094
Ca 13.196 4.668 -1.475
P 0.706 8.537 1.773
Bi 3.932 4.339 0.137
Ca 9.313 4.838 -1.114
Bi 12.121 1.602 0.097
Ca 6.885 3.208 0.975
P 7.482 6.903 -1.813
Bi 4.257 10.280 -0.177
Ca 18.146 4.668 -2.230
```

Results
DFT total energy: -19.88 eV per formula unit
SG: No. 15
offset from the most stable computed form: 0.114 eV/atom



Result set for formation energy from the elements: -1.009; -0.917 eV/atom, one per record in the order listed.